Entry from Alexandria via LeMat-Bulk: crystalline CoNi4Ge at its relaxed geometry (PBE-GGA).

ΔE to the lowest computed polymorph (meV/atom): 0
E_form (eV/atom): -0.02
Density of states at the Fermi level (states/eV/atom): 1.225
Magnetic moment (Bohr magnetons per cell): 5.39

Unit cell a=4.2153 b=4.2142 c=8.3112 alpha=104.70 beta=104.69 gamma=90.00
With the nearest neighbours (Å) after each atom.
Fractional coordinates of all 12 atoms:
Co 0.5000 0.0000 0.5000  10 Ni 2.43-2.59
Co 0.0000 0.5000 0.5000  10 Ni 2.43-2.59
Ni 0.6627 0.1670 0.8338  4 Ge 2.47, 5 Ni 2.50-2.58, 1 Co 2.59
Ni 0.8289 0.3330 0.1662  4 Ge 2.47, 5 Ni 2.50-2.58, 1 Co 2.59
Ni 0.3373 0.8330 0.1662  4 Ge 2.47, 5 Ni 2.50-2.58, 1 Co 2.59
Ni 0.1711 0.6670 0.8338  4 Ge 2.47, 5 Ni 2.50-2.58, 1 Co 2.59
Ni 0.0761 0.0797 0.6588  4 Co 2.43-2.45, 5 Ni 2.46-2.51, 1 Ge 2.65
Ni 0.4173 0.4203 0.3412  4 Co 2.43-2.45, 5 Ni 2.46-2.51, 1 Ge 2.65
Ni 0.9239 0.9203 0.3412  4 Co 2.43-2.45, 5 Ni 2.46-2.51, 1 Ge 2.65
Ni 0.5827 0.5797 0.6588  4 Co 2.43-2.45, 5 Ni 2.46-2.51, 1 Ge 2.65
Ge 0.7535 0.7500 0.0000  10 Ni 2.47-2.65
Ge 0.2465 0.2500 0.0000  10 Ni 2.47-2.65